(1)
{"formula": "Tl7In2", "functional": "PBE", "state": "relaxed", "sg": "P-62m, No. 189", "cell": [[3.414, 0.000, 0.000], [0.000, 8.290, -4.786], [0.000, 0.000, 9.573]], "species": ["Tl", "In", "Tl", "In", "Tl", "Tl", "Tl", "Tl", "Tl"], "fractional_positions": [[0.500, 0.000, 0.644], [0.000, 0.333, 0.667], [0.500, 0.644, 0.000], [0.000, 0.667, 0.333], [0.000, 0.000, 0.314], [0.500, 0.356, 0.356], [0.500, 0.000, 0.000], [0.000, 0.314, 0.000], [0.000, 0.686, 0.686]]}

---

(2)
{"formula": "RbBeCl2", "functional": "PBE", "state": "relaxed", "polymorph_energy_mev_per_atom": 446, "sg": "Fm-3m, No. 225", "formation_energy_uncorrected_ev_per_fu": -1.55, "cell": [[0.000, 3.714, 3.714], [3.714, 0.000, 3.714], [3.714, 3.714, 0.000]], "species": ["Be", "Cl", "Rb", "Cl"], "fractional_positions": [[0.000, 0.000, 0.000], [0.750, 0.750, 0.750], [0.500, 0.500, 0.500], [0.250, 0.250, 0.250]]}

---

no.,raw total energy (eV for the cell shown)
1,-21.88
2,-9.94